a) The following is a DFT calculation (PBE-GGA) of Sm2GaAg3 after structural relaxation.

Structure (extended XYZ):
```
6
Lattice="-1.893 2.203 8.648 1.893 -2.203 8.648 1.893 2.203 -8.648" Properties=species:S:1:pos:R:3 pbc="T T T"
Sm 0.000 0.000 0.000
Sm 0.000 2.203 4.095
Ga 0.000 0.000 10.028
Ag 1.893 0.000 2.699
Ag 1.893 0.000 5.446
Ag 0.000 0.000 7.383
```

Results
Mass density, g/cm³: 8.0
Space-group type: Imm2 (44)



b) The following is a DFT calculation (PBE-GGA) of Sm2GaAg3 after structural relaxation.

Structure (extended XYZ):
```
12
Lattice="0.000 4.726 8.250 3.495 0.000 8.250 3.495 4.726 0.000" Properties=species:S:1:pos:R:3 pbc="T T T"
Sm 5.273 4.726 8.250
Sm 1.747 2.363 4.125
Sm 5.242 7.089 12.374
Sm 1.716 4.726 8.250
Ga 3.495 4.726 5.501
Ga 3.495 4.726 10.998
Ag 3.495 4.726 2.812
Ag 3.495 2.423 6.851
Ag 3.495 2.423 9.648
Ag 3.495 7.029 6.851
Ag 3.495 7.029 9.648
Ag 3.495 4.726 13.687
```

Results
Mass density, g/cm³: 8.5
Space-group type: Fmmm (69)



Which of them is least stable? Easy: a).



a) The following is a DFT calculation (PBE-GGA) of Sm5Ga2Ag2 after structural relaxation.

Structure (extended XYZ):
```
18
Lattice="7.967 -3.721 0.000 7.967 3.721 0.000 0.000 0.000 8.254" Properties=species:S:1:pos:R:3 pbc="T T T"
Sm 0.000 0.000 0.000
Sm 5.641 2.487 5.553
Sm 5.641 1.233 1.426
Sm 10.292 2.487 5.553
Sm 10.292 1.233 1.426
Sm 7.967 0.000 4.127
Sm 5.641 -1.233 6.829
Sm 5.641 -2.487 2.701
Sm 10.292 -1.233 6.829
Sm 10.292 -2.487 2.701
Ga 3.215 0.000 0.000
Ga 4.751 0.000 4.127
Ga 11.182 0.000 4.127
Ga 12.718 0.000 0.000
Ag 7.967 2.823 3.047
Ag 7.967 0.898 7.174
Ag 7.967 -0.898 1.080
Ag 7.967 -2.823 5.207
```

Results
Mass density, g/cm³: 7.5
Space-group type: Cmce (64)



b) The following is a DFT calculation (PBE-GGA) of Sm5Ga2Ag2 after structural relaxation.

Structure (extended XYZ):
```
18
Lattice="8.217 -3.855 0.000 8.217 3.855 0.000 0.000 0.000 7.694" Properties=species:S:1:pos:R:3 pbc="T T T"
Sm 0.000 0.000 0.000
Sm 5.985 2.456 5.212
Sm 5.985 1.400 1.364
Sm 10.449 2.456 5.212
Sm 10.449 1.400 1.364
Sm 8.217 0.000 3.847
Sm 5.985 -1.400 6.330
Sm 5.985 -2.456 2.483
Sm 10.449 -1.400 6.330
Sm 10.449 -2.456 2.483
Ga 8.217 2.949 2.941
Ga 8.217 0.906 6.788
Ga 8.217 -0.906 0.906
Ga 8.217 -2.949 4.753
Ag 3.521 0.000 0.000
Ag 4.696 0.000 3.847
Ag 11.739 0.000 3.847
Ag 12.913 0.000 0.000
```

Results
Mass density, g/cm³: 7.5
Space-group type: Cmce (64)



Which of them is least stable? Easy: a).



a) The following is a DFT calculation (PBE-GGA) of SmGa3Ag after structural relaxation.

Structure (extended XYZ):
```
5
Lattice="-2.123 2.123 5.512 2.123 -2.123 5.512 2.123 2.123 -5.512" Properties=species:S:1:pos:R:3 pbc="T T T"
Sm 0.000 0.000 0.000
Ga 0.000 0.000 4.292
Ga 0.000 0.000 6.733
Ga 0.000 2.123 2.756
Ag 2.123 0.000 2.756
```

Results
Mass density, g/cm³: 7.8
Space-group type: I-4m2 (119)



b) The following is a DFT calculation (PBE-GGA) of SmGa3Ag after structural relaxation.

Structure (extended XYZ):
```
5
Lattice="0.000 2.989 5.649 2.986 0.000 5.649 2.986 2.989 0.000" Properties=species:S:1:pos:R:3 pbc="T T T"
Sm 0.000 0.000 0.000
Ga 1.493 1.494 2.625
Ga 2.986 2.989 6.674
Ga 4.480 4.483 8.274
Ag 2.986 2.989 4.164
```

Results
Mass density, g/cm³: 7.7
Space-group type: Fmm2 (42)



Which of them is least stable? Easy: b).



a) The following is a DFT calculation (PBE-GGA) of Sm6Ga2Ag after structural relaxation.

Structure (extended XYZ):
```
18
Lattice="-4.904 5.000 5.244 4.904 -5.000 5.244 4.904 5.000 -5.244" Properties=species:S:1:pos:R:3 pbc="T T T"
Sm 4.904 -2.932 3.408
Sm 2.975 0.000 2.628
Sm 6.832 0.000 2.628
Sm 3.177 2.707 0.000
Sm 6.630 2.707 0.000
Sm 0.000 2.068 1.836
Sm 4.904 2.932 3.408
Sm -1.727 2.293 5.244
Sm 1.727 2.293 5.244
Sm -1.929 5.000 2.616
Sm 1.929 5.000 2.616
Sm 0.000 7.932 1.836
Ga 1.391 0.000 0.000
Ga 8.416 0.000 0.000
Ga 0.000 0.000 3.962
Ga 0.000 0.000 6.525
Ag 4.904 0.000 0.000
Ag 0.000 5.000 0.000
```

Results
Mass density, g/cm³: 7.4
Space-group type: Immm (71)



b) The following is a DFT calculation (PBE-GGA) of Sm6Ga2Ag after structural relaxation.

Structure (extended XYZ):
```
9
Lattice="8.004 -3.628 0.000 8.004 3.628 0.000 -1.560 0.000 4.766" Properties=species:S:1:pos:R:3 pbc="T T T"
Sm 4.801 1.818 1.584
Sm 8.004 1.851 0.000
Sm 9.646 1.818 3.182
Sm 4.801 -1.818 1.584
Sm 8.004 -1.851 0.000
Sm 9.646 -1.818 3.182
Ga 2.417 0.000 0.797
Ga 12.031 0.000 3.969
Ag 7.224 0.000 2.383
```

Results
Mass density, g/cm³: 6.9
Space-group type: C2/m (12)



Which of them is least stable? Easy: b).



a) The following is a DFT calculation (PBE-GGA) of SmGa4Ag after structural relaxation.

Structure (extended XYZ):
```
6
Lattice="-2.139 3.405 4.128 2.139 -3.405 4.128 2.139 3.405 -4.128" Properties=species:S:1:pos:R:3 pbc="T T T"
Sm 0.000 0.000 0.000
Ga 2.139 2.013 -1.332
Ga 2.139 2.013 1.332
Ga 0.000 1.391 2.796
Ga 0.000 1.391 5.461
Ag 0.000 3.405 0.000
```

Results
Mass density, g/cm³: 7.4
Space-group type: Immm (71)



b) The following is a DFT calculation (PBE-GGA) of SmGa4Ag after structural relaxation.

Structure (extended XYZ):
```
6
Lattice="0.000 3.909 3.909 3.909 0.000 3.909 3.909 3.909 0.000" Properties=species:S:1:pos:R:3 pbc="T T T"
Sm 0.000 0.000 0.000
Ga 4.887 2.931 2.931
Ga 2.931 4.887 2.931
Ga 2.931 2.931 4.887
Ga 4.887 4.887 4.887
Ag 1.955 1.955 1.955
```

Results
Mass density, g/cm³: 7.5
Space-group type: F-43m (216)



Which of them is least stable? Easy: b).



a) The following is a DFT calculation (PBE-GGA) of Sm3GaAg after structural relaxation.

Structure (extended XYZ):
```
20
Lattice="7.638 -3.950 0.000 7.638 3.950 0.000 -0.422 0.000 9.145" Properties=species:S:1:pos:R:3 pbc="T T T"
Sm 2.871 0.481 3.039
Sm 6.623 2.492 8.481
Sm 8.020 2.492 5.236
Sm 2.660 -0.481 7.612
Sm 5.644 0.027 5.953
Sm 5.855 -0.027 1.381
Sm 8.999 0.027 7.764
Sm 9.210 -0.027 3.191
Sm 12.194 0.481 1.533
Sm 6.834 -2.492 3.908
Sm 8.231 -2.492 0.664
Sm 11.983 -0.481 6.105
Ga 5.333 2.171 3.612
Ga 9.732 2.171 0.961
Ga 5.122 -2.171 8.184
Ga 9.521 -2.171 5.533
Ag 3.819 1.975 0.000
Ag 7.533 2.803 2.286
Ag 3.608 -1.975 4.572
Ag 7.322 -2.803 6.858
```

Results
Mass density, g/cm³: 7.6
Space-group type: C2/c (15)



b) The following is a DFT calculation (PBE-GGA) of Sm3GaAg after structural relaxation.

Structure (extended XYZ):
```
10
Lattice="2.604 -9.961 0.000 2.604 9.961 0.000 0.000 0.000 5.212" Properties=species:S:1:pos:R:3 pbc="T T T"
Sm 2.604 8.696 3.909
Sm 2.604 5.014 3.909
Sm 2.604 1.349 3.909
Sm 2.604 -1.349 1.303
Sm 2.604 -5.014 1.303
Sm 2.604 -8.696 1.303
Ga 2.604 6.869 1.303
Ga 2.604 -6.869 3.909
Ag 2.604 3.153 1.303
Ag 2.604 -3.153 3.909
```

Results
Mass density, g/cm³: 7.7
Space-group type: Cmcm (63)



Which of them is least stable? Easy: a).